The following is a GGA-PBE calculation of an optimized crystal structure of TlGaAgSe, from the Alexandria database.

## Properties
Crystal system: triclinic
Offset from the most stable computed form (eV per atom): 0.021
Raw formation energy (eV per atom): -0.12
Magnetic moment (μB/cell): 0.00
ρ (Mg/m³): 7.9

a = 3.715 Å, b = 3.717 Å, c = 8.075 Å
α = 89.23°, β = 89.39°, γ = 60.42°
Space group P1 (No. 1)
Symmetry-distinct sites (fractional):
Tl  0.000  0.000  0.000 [1 per cell]
Ga  0.673  0.670  0.493 [1 per cell]
Ag  0.335  0.334  0.273 [1 per cell]
Se  0.338  0.332  0.667 [1 per cell]

***

The following is a GGA-PBE calculation of an optimized crystal structure of TbTaGa2O8, from the Alexandria database.

## Properties
Crystal system: tetragonal
Raw formation energy (eV per atom): -2.09
Magnetic moment (μB/cell): 4.14
ρ (Mg/m³): 6.6

a = 6.846 Å, b = 6.846 Å, c = 6.500 Å
α = 90.00°, β = 90.00°, γ = 90.00°
Space group I-4m2 (No. 119)
Symmetry-distinct sites (fractional):
Tb  0.000  0.000  0.000 [2 per cell]
Ta  0.000  0.500  0.250 [2 per cell]
Ga  0.000  0.000  0.500 [2 per cell]
Ga  0.000  0.500  0.750 [2 per cell]
O  0.000  0.205  0.314 [8 per cell]
O  0.000  0.327  0.967 [8 per cell]

***

The following is a GGA-PBE calculation of an optimized crystal structure of SrTcAg, from the Alexandria database.

## Properties
Crystal system: monoclinic
Offset from the most stable computed form (eV per atom): 0.059
Magnetic moment (μB/cell): 0.00
ρ (Mg/m³): 6.3

a = 11.364 Å, b = 3.791 Å, c = 7.216 Å
α = 90.00°, β = 96.35°, γ = 90.00°
Space group C2/m (No. 12)
Symmetry-distinct sites (fractional):
Sr  0.046  0.000  0.247 [4 per cell]
Tc  0.198  0.500  0.949 [4 per cell]
Ag  0.225  0.000  0.643 [4 per cell]

***

The following is a GGA-PBE calculation of an optimized crystal structure of TiRh2I, from the Alexandria database.

## Properties
Crystal system: tetragonal
Offset from the most stable computed form (eV per atom): 0.066
Raw formation energy (eV per atom): 0.25
Magnetic moment (μB/cell): 0.00
ρ (Mg/m³): 6.6

a = 5.586 Å, b = 5.586 Å, c = 12.198 Å
α = 90.00°, β = 90.00°, γ = 90.00°
Space group I-42d (No. 122)
Symmetry-distinct sites (fractional):
Ti  0.000  0.000  0.000 [4 per cell]
Rh  0.210  0.250  0.125 [8 per cell]
I  0.000  0.000  0.500 [4 per cell]

***

The following is a GGA-PBE calculation of an optimized crystal structure of Ac8SiRh3Br3, from the Alexandria database.

## Properties
Crystal system: trigonal
Raw formation energy (eV per atom): -0.93
Magnetic moment (μB/cell): 0.00
ρ (Mg/m³): 7.4

a = 8.8978 Å, b = 8.8978 Å, c = 23.4817 Å
α = 90.00°, β = 90.00°, γ = 120.00°
Space group R-3m (No. 166, hexagonal axes)
Symmetry-distinct sites (fractional):
Ac  0.0000  0.0000  0.2350 [6 per cell]
Ac  0.0147  0.5073  0.7650 [18 per cell]
Si  0.0000  0.0000  0.5000 [3 per cell]
Rh  0.0000  0.5000  0.5000 [9 per cell]
Br  0.0000  0.5000  0.0000 [9 per cell]

***

The following is a GGA-PBE calculation of an optimized crystal structure of ErTh3Hg7, from the Alexandria database.

## Properties
Crystal system: orthorhombic
Magnetic moment (μB/cell): 0.00
ρ (Mg/m³): 12.8
DFT total energy (eV per cell): -123.69

a = 3.505 Å, b = 22.125 Å, c = 15.223 Å
α = 90.00°, β = 90.00°, γ = 90.00°
Space group Cmcm (No. 63)
Symmetry-distinct sites (fractional):
Er  0.000  0.029  0.250 [4 per cell]
Th  0.000  0.115  0.536 [8 per cell]
Th  0.000  0.247  0.250 [4 per cell]
Hg  0.000  0.254  0.576 [8 per cell]
Hg  0.000  0.372  0.653 [8 per cell]
Hg  0.000  0.393  0.250 [4 per cell]
Hg  0.000  0.498  0.593 [8 per cell]

***

The following is a GGA-PBE calculation of an optimized crystal structure of Na5In12Pd2, from the Alexandria database.

## Properties
Crystal system: monoclinic
Magnetic moment (μB/cell): 0.00
ρ (Mg/m³): 5.9
DFT total energy (eV per cell): -106.29

a = 14.408 Å, b = 9.934 Å, c = 6.700 Å
α = 90.00°, β = 90.06°, γ = 90.00°
Space group C2/m (No. 12)
Symmetry-distinct sites (fractional):
Na  0.000  0.000  0.000 [2 per cell]
Na  0.186  0.500  0.508 [4 per cell]
Na  0.237  0.500  0.009 [4 per cell]
In  0.003  0.500  0.225 [4 per cell]
In  0.100  0.000  0.513 [4 per cell]
In  0.140  0.238  0.781 [8 per cell]
In  0.146  0.232  0.236 [8 per cell]
Pd  0.000  0.282  0.500 [4 per cell]

***

The following is a GGA-PBE calculation of an optimized crystal structure of Sm4TlBr5, from the Alexandria database.

## Properties
Crystal system: monoclinic
Raw formation energy (eV per atom): -1.29
Magnetic moment (μB/cell): 0.00
ρ (Mg/m³): 6.0

a = 18.339 Å, b = 4.209 Å, c = 8.789 Å
α = 90.00°, β = 100.72°, γ = 90.00°
Space group C2/m (No. 12)
Symmetry-distinct sites (fractional):
Sm  0.004  0.000  0.244 [4 per cell]
Sm  0.166  0.500  0.067 [4 per cell]
Tl  0.000  0.500  0.000 [2 per cell]
Br  0.000  0.500  0.500 [2 per cell]
Br  0.167  0.000  0.819 [4 per cell]
Br  0.169  0.000  0.313 [4 per cell]